Entry 1:
Sb2Pd7Pb2Au: relaxed, PBE.

* SG: C2/m
* crystal system: monoclinic

abc: 3.956 3.956 15.872
angles: 93.86 93.86 89.97
Atoms (fractional coordinates):
Sb1 0.138 0.138 0.409
Sb2 0.862 0.862 0.591
Pd1 0.036 0.537 0.131
Pd2 0.344 0.344 0.568
Pd3 0.463 0.964 0.869
Pd4 0.500 0.500 0.000
Pd5 0.537 0.036 0.131
Pd6 0.656 0.656 0.432
Pd7 0.964 0.463 0.869
Pb1 0.430 0.430 0.746
Pb2 0.570 0.570 0.254
Au1 0.000 0.000 0.000

---

Entry 2:
Sb2PdPbAu: relaxed, PBE.

* SG: P4/mmm
* crystal system: tetragonal

abc: 5.778 5.778 5.141
angles: 90.00 90.00 90.00
Atoms (fractional coordinates):
Sb1 0.000 0.500 0.000
Sb2 0.500 0.000 0.000
Pd1 0.000 0.000 0.500
Pb1 0.500 0.500 0.000
Au1 0.500 0.500 0.500

---

no.,E_form (uncorrected) (kJ per mole of atoms)
1,-14.9
2,107.5